Entry 1:
A plane-wave DFT calculation with PBE was carried out for a geometry-optimized Ce4Pm3DyS8 structure.

For the magnetization, the calculation gives 0.182 μB per atom. The value obtained for the uncorrected energy is -108.225 eV per formula unit. The space group is R-3m. The value obtained for the raw formation energy is -32.6 eV per formula unit.

```
data_Ce4Pm3DyS8
_cell_length_a 8.034
_cell_length_b 8.034
_cell_length_c 8.034
_cell_angle_alpha 59.91
_cell_angle_beta 59.91
_cell_angle_gamma 59.91
_space_group_name_H-M_alt 'P 1'
_space_group_IT_number 1
_space_group_name_Hall 'P 1'
loop_
_atom_site_label
_atom_site_fract_x
_atom_site_fract_y
_atom_site_fract_z
Ce1 0.000 0.000 0.000
Ce2 0.000 0.500 0.500
Ce3 0.500 0.000 0.500
Ce4 0.500 0.500 0.000
Pm1 0.000 0.000 0.500
Pm2 0.000 0.500 0.000
Pm3 0.500 0.000 0.000
Dy1 0.500 0.500 0.500
S1 0.250 0.250 0.250
S2 0.254 0.254 0.746
S3 0.254 0.746 0.254
S4 0.254 0.746 0.746
S5 0.746 0.254 0.254
S6 0.746 0.254 0.746
S7 0.746 0.746 0.254
S8 0.750 0.750 0.750
```

Entry 2:
A plane-wave DFT calculation with PBE was carried out for a geometry-optimized CePm2DyS4 structure.

For the magnetization, the calculation gives 0.085 μB per atom. The value obtained for the uncorrected energy is -52.790 eV per formula unit. The space group is P2/m. The value obtained for the raw formation energy is -16.2 eV per formula unit.

```
data_CePm2DyS4
_cell_length_a 6.922
_cell_length_b 3.984
_cell_length_c 6.948
_cell_angle_alpha 90.00
_cell_angle_beta 109.29
_cell_angle_gamma 90.00
_space_group_name_H-M_alt 'P 1'
_space_group_IT_number 1
_space_group_name_Hall 'P 1'
loop_
_atom_site_label
_atom_site_fract_x
_atom_site_fract_y
_atom_site_fract_z
Ce1 0.000 0.000 0.000
Pm1 0.500 0.000 0.500
Pm2 0.500 0.500 0.000
Dy1 0.000 0.500 0.500
S1 0.241 0.000 0.742
S2 0.245 0.500 0.254
S3 0.755 0.500 0.746
S4 0.759 0.000 0.258
```

Entry 3:
A plane-wave DFT calculation with PBE was carried out for a geometry-optimized Ce2PmDyS5 structure.

For the magnetization, the calculation gives 0.372 μB per atom. The value obtained for the uncorrected energy is -55.224 eV per formula unit. The space group is P4/mmm. The value obtained for the raw formation energy is -13.4 eV per formula unit.

```
data_Ce2PmDyS5
_cell_length_a 4.906
_cell_length_b 4.906
_cell_length_c 10.489
_cell_angle_alpha 90.00
_cell_angle_beta 90.00
_cell_angle_gamma 90.00
_space_group_name_H-M_alt 'P 1'
_space_group_IT_number 1
_space_group_name_Hall 'P 1'
loop_
_atom_site_label
_atom_site_fract_x
_atom_site_fract_y
_atom_site_fract_z
Ce1 0.000 0.000 0.194
Ce2 0.000 0.000 0.806
Pm1 0.500 0.500 0.500
Dy1 0.500 0.500 0.000
S1 0.000 0.000 0.500
S2 0.000 0.500 0.000
S3 0.500 0.000 0.000
S4 0.500 0.500 0.252
S5 0.500 0.500 0.748
```

Entry 4:
A plane-wave DFT calculation with PBE was carried out for a geometry-optimized CePm4Dy3S8 structure.

For the magnetization, the calculation gives 0.000 μB per atom. The value obtained for the uncorrected energy is -104.135 eV per formula unit. The space group is R-3m. The value obtained for the raw formation energy is -32.4 eV per formula unit.

```
data_CePm4Dy3S8
_cell_length_a 7.975
_cell_length_b 7.975
_cell_length_c 7.975
_cell_angle_alpha 59.86
_cell_angle_beta 59.86
_cell_angle_gamma 59.86
_space_group_name_H-M_alt 'P 1'
_space_group_IT_number 1
_space_group_name_Hall 'P 1'
loop_
_atom_site_label
_atom_site_fract_x
_atom_site_fract_y
_atom_site_fract_z
Ce1 0.000 0.000 0.000
Pm1 0.000 0.000 0.500
Pm2 0.000 0.500 0.000
Pm3 0.500 0.000 0.000
Pm4 0.500 0.500 0.500
Dy1 0.000 0.500 0.500
Dy2 0.500 0.000 0.500
Dy3 0.500 0.500 0.000
S1 0.249 0.249 0.743
S2 0.249 0.743 0.249
S3 0.254 0.254 0.254
S4 0.257 0.751 0.751
S5 0.743 0.249 0.249
S6 0.746 0.746 0.746
S7 0.751 0.257 0.751
S8 0.751 0.751 0.257
```

Entry 5:
A plane-wave DFT calculation with PBE was carried out for a geometry-optimized CePm2DySb5 structure.

For the magnetization, the calculation gives 0.056 μB per atom. The value obtained for the uncorrected energy is -43.174 eV per formula unit. The space group is P4/mmm. The value obtained for the raw formation energy is -2.5 eV per formula unit.

```
data_CePm2DySb5
_cell_length_a 5.282
_cell_length_b 5.282
_cell_length_c 11.754
_cell_angle_alpha 90.00
_cell_angle_beta 90.00
_cell_angle_gamma 90.00
_space_group_name_H-M_alt 'P 1'
_space_group_IT_number 1
_space_group_name_Hall 'P 1'
loop_
_atom_site_label
_atom_site_fract_x
_atom_site_fract_y
_atom_site_fract_z
Ce1 0.000 0.000 0.000
Pm1 0.500 0.500 0.279
Pm2 0.500 0.500 0.721
Dy1 0.000 0.000 0.500
Sb1 0.000 0.000 0.248
Sb2 0.000 0.000 0.752
Sb3 0.000 0.500 0.500
Sb4 0.500 0.000 0.500
Sb5 0.500 0.500 0.000
```

Entry 6:
A plane-wave DFT calculation with PBE was carried out for a geometry-optimized Ce2Pm3DySb6 structure.

For the magnetization, the calculation gives 0.122 μB per atom. The value obtained for the uncorrected energy is -69.032 eV per formula unit. The space group is C2/m. The value obtained for the raw formation energy is -13.6 eV per formula unit.

```
data_Ce2Pm3DySb6
_cell_length_a 10.005
_cell_length_b 10.005
_cell_length_c 8.962
_cell_angle_alpha 103.04
_cell_angle_beta 103.04
_cell_angle_gamma 25.84
_space_group_name_H-M_alt 'P 1'
_space_group_IT_number 1
_space_group_name_Hall 'P 1'
loop_
_atom_site_label
_atom_site_fract_x
_atom_site_fract_y
_atom_site_fract_z
Ce1 0.166 0.166 0.332
Ce2 0.834 0.834 0.668
Pm1 0.167 0.167 0.834
Pm2 0.500 0.500 0.500
Pm3 0.833 0.833 0.166
Dy1 0.500 0.500 0.000
Sb1 0.000 0.000 0.245
Sb2 0.000 0.000 0.755
Sb3 0.333 0.333 0.417
Sb4 0.335 0.335 0.917
Sb5 0.665 0.665 0.083
Sb6 0.667 0.667 0.583
```

Entry 7:
A plane-wave DFT calculation with PBE was carried out for a geometry-optimized CePm2DySb4 structure.

For the magnetization, the calculation gives 0.087 μB per atom. The value obtained for the uncorrected energy is -45.627 eV per formula unit. The space group is P2/m. The value obtained for the raw formation energy is -9.1 eV per formula unit.

```
data_CePm2DySb4
_cell_length_a 7.730
_cell_length_b 4.464
_cell_length_c 7.738
_cell_angle_alpha 90.00
_cell_angle_beta 109.37
_cell_angle_gamma 90.00
_space_group_name_H-M_alt 'P 1'
_space_group_IT_number 1
_space_group_name_Hall 'P 1'
loop_
_atom_site_label
_atom_site_fract_x
_atom_site_fract_y
_atom_site_fract_z
Ce1 0.000 0.000 0.000
Pm1 0.000 0.500 0.500
Pm2 0.500 0.000 0.500
Dy1 0.500 0.500 0.000
Sb1 0.251 0.500 0.247
Sb2 0.254 0.000 0.756
Sb3 0.746 0.000 0.244
Sb4 0.749 0.500 0.753
```

Entry 8:
A plane-wave DFT calculation with PBE was carried out for a geometry-optimized Ce2PmDy3Sb6 structure.

For the magnetization, the calculation gives 0.125 μB per atom. The value obtained for the uncorrected energy is -68.521 eV per formula unit. The space group is C2/m. The value obtained for the raw formation energy is -13.4 eV per formula unit.

```
data_Ce2PmDy3Sb6
_cell_length_a 9.922
_cell_length_b 9.922
_cell_length_c 8.882
_cell_angle_alpha 102.89
_cell_angle_beta 102.89
_cell_angle_gamma 25.87
_space_group_name_H-M_alt 'P 1'
_space_group_IT_number 1
_space_group_name_Hall 'P 1'
loop_
_atom_site_label
_atom_site_fract_x
_atom_site_fract_y
_atom_site_fract_z
Ce1 0.166 0.166 0.333
Ce2 0.834 0.834 0.667
Pm1 0.500 0.500 0.000
Dy1 0.166 0.166 0.834
Dy2 0.500 0.500 0.500
Dy3 0.834 0.834 0.166
Sb1 0.001 0.001 0.746
Sb2 0.332 0.332 0.920
Sb3 0.335 0.335 0.413
Sb4 0.665 0.665 0.587
Sb5 0.668 0.668 0.080
Sb6 0.999 0.999 0.254
```

Entry 9:
A plane-wave DFT calculation with PBE was carried out for a geometry-optimized Ce2PmDySb4 structure.

For the magnetization, the calculation gives 0.193 μB per atom. The value obtained for the uncorrected energy is -46.526 eV per formula unit. The space group is P2/m. The value obtained for the raw formation energy is -8.8 eV per formula unit.

```
data_Ce2PmDySb4
_cell_length_a 7.736
_cell_length_b 4.465
_cell_length_c 7.745
_cell_angle_alpha 90.00
_cell_angle_beta 109.43
_cell_angle_gamma 90.00
_space_group_name_H-M_alt 'P 1'
_space_group_IT_number 1
_space_group_name_Hall 'P 1'
loop_
_atom_site_label
_atom_site_fract_x
_atom_site_fract_y
_atom_site_fract_z
Ce1 0.000 0.000 0.000
Ce2 0.500 0.500 0.000
Pm1 0.000 0.500 0.500
Dy1 0.500 0.000 0.500
Sb1 0.253 0.000 0.749
Sb2 0.255 0.500 0.254
Sb3 0.745 0.500 0.746
Sb4 0.747 0.000 0.251
```

Entry 10:
A plane-wave DFT calculation with PBE was carried out for a geometry-optimized Ce3PmDy2Se6 structure.

For the magnetization, the calculation gives 0.248 μB per atom. The value obtained for the uncorrected energy is -74.375 eV per formula unit. The space group is C2/m. The value obtained for the raw formation energy is -21.7 eV per formula unit.

```
data_Ce3PmDy2Se6
_cell_length_a 7.177
_cell_length_b 7.177
_cell_length_c 7.256
_cell_angle_alpha 99.49
_cell_angle_beta 99.49
_cell_angle_gamma 120.04
_space_group_name_H-M_alt 'P 1'
_space_group_IT_number 1
_space_group_name_Hall 'P 1'
loop_
_atom_site_label
_atom_site_fract_x
_atom_site_fract_y
_atom_site_fract_z
Ce1 0.000 0.000 0.000
Ce2 0.336 0.664 0.000
Ce3 0.664 0.336 0.000
Pm1 0.500 0.500 0.500
Dy1 0.167 0.833 0.500
Dy2 0.833 0.167 0.500
Se1 0.079 0.419 0.257
Se2 0.240 0.240 0.739
Se3 0.419 0.079 0.257
Se4 0.581 0.921 0.743
Se5 0.760 0.760 0.261
Se6 0.921 0.581 0.743
```